SmPaAlGa: optimized geometry, PBE.

Calculated values
* V: 95.2 Å³ per cell
* DFT formation energy: -0.1598 eV/atom
* DOS(E_F): 7.288 states/eV per cell
* DFT total energy: -5.406 eV per atom

```
data_SmPaAlGa
_cell_length_a 5.126
_cell_length_b 5.126
_cell_length_c 5.126
_cell_angle_alpha 60.00
_cell_angle_beta 60.00
_cell_angle_gamma 60.00
_space_group_name_H-M_alt 'P 1'
_space_group_IT_number 1
_space_group_name_Hall 'P 1'
loop_
_atom_site_label
_atom_site_fract_x
_atom_site_fract_y
_atom_site_fract_z
_atom_site_occupancy
Al1 0.750 0.750 0.750 1
Ga1 0.250 0.250 0.250 1
Pa1 0.000 0.000 0.000 1
Sm1 0.500 0.500 0.500 1
```

---

PaAlGaSn: optimized geometry, PBE.

Calculated values
* V: 86.3 Å³ per cell
* DFT formation energy: -0.3130 eV/atom
* DOS(E_F): 3.846 states/eV per cell
* DFT total energy: -5.380 eV per atom

```
data_PaAlGaSn
_cell_length_a 4.326
_cell_length_b 4.411
_cell_length_c 4.524
_cell_angle_alpha 90.00
_cell_angle_beta 90.00
_cell_angle_gamma 90.00
_space_group_name_H-M_alt 'P 1'
_space_group_IT_number 1
_space_group_name_Hall 'P 1'
loop_
_atom_site_label
_atom_site_fract_x
_atom_site_fract_y
_atom_site_fract_z
_atom_site_occupancy
Sn1 0.000 0.000 0.000 1
Ga1 0.500 0.000 0.500 1
Pa1 0.000 0.500 0.500 1
Al1 0.500 0.500 0.000 1
```

---

Sr2PaAl3Ga12: optimized geometry, PBE.

Calculated values
* V: 412.8 Å³ per cell
* DFT formation energy: -0.0170 eV/atom
* DOS(E_F): 10.441 states/eV per cell
* DFT total energy: -3.373 eV per atom

```
data_Sr2PaAl3Ga12
_cell_length_a 11.142
_cell_length_b 11.142
_cell_length_c 11.142
_cell_angle_alpha 35.31
_cell_angle_beta 35.31
_cell_angle_gamma 35.31
_space_group_name_H-M_alt 'P 1'
_space_group_IT_number 1
_space_group_name_Hall 'P 1'
loop_
_atom_site_label
_atom_site_fract_x
_atom_site_fract_y
_atom_site_fract_z
_atom_site_occupancy
Sr1 0.357 0.357 0.357 1
Ga1 0.074 0.074 0.632 1
Ga2 0.368 0.926 0.926 1
Al1 0.500 0.000 0.000 1
Ga3 0.412 0.815 0.412 1
Ga4 0.926 0.368 0.926 1
Ga5 0.588 0.588 0.185 1
Sr2 0.643 0.643 0.643 1
Ga6 0.588 0.185 0.588 1
Pa1 0.000 0.000 0.000 1
Ga7 0.632 0.074 0.074 1
Al2 0.000 0.000 0.500 1
Ga8 0.185 0.588 0.588 1
Ga9 0.412 0.412 0.815 1
Ga10 0.815 0.412 0.412 1
Al3 0.000 0.500 0.000 1
Ga11 0.926 0.926 0.368 1
Ga12 0.074 0.632 0.074 1
```

---

TbPaAlGa: optimized geometry, PBE.

Calculated values
* V: 92.7 Å³ per cell
* DFT formation energy: -0.1909 eV/atom
* DOS(E_F): 6.974 states/eV per cell
* DFT total energy: -5.415 eV per atom

```
data_TbPaAlGa
_cell_length_a 5.081
_cell_length_b 5.081
_cell_length_c 5.081
_cell_angle_alpha 60.00
_cell_angle_beta 60.00
_cell_angle_gamma 60.00
_space_group_name_H-M_alt 'P 1'
_space_group_IT_number 1
_space_group_name_Hall 'P 1'
loop_
_atom_site_label
_atom_site_fract_x
_atom_site_fract_y
_atom_site_fract_z
_atom_site_occupancy
Ga1 0.250 0.250 0.250 1
Pa1 0.500 0.500 0.500 1
Al1 0.750 0.750 0.750 1
Tb1 0.000 0.000 0.000 1
```

---

Tb2PaAl3Ga6: optimized geometry, PBE.

Calculated values
* V: 243.5 Å³ per cell
* DFT formation energy: -0.2762 eV/atom
* DOS(E_F): 8.861 states/eV per cell
* DFT total energy: -4.288 eV per atom

```
data_Tb2PaAl3Ga6
_cell_length_a 4.172
_cell_length_b 4.172
_cell_length_c 13.987
_cell_angle_alpha 90.00
_cell_angle_beta 90.00
_cell_angle_gamma 90.00
_space_group_name_H-M_alt 'P 1'
_space_group_IT_number 1
_space_group_name_Hall 'P 1'
loop_
_atom_site_label
_atom_site_fract_x
_atom_site_fract_y
_atom_site_fract_z
_atom_site_occupancy
Ga1 0.000 0.500 0.305 1
Ga2 0.000 0.000 0.820 1
Al1 0.000 0.000 0.415 1
Tb1 0.500 0.500 0.869 1
Ga3 0.000 0.500 0.695 1
Ga4 0.500 0.000 0.305 1
Tb2 0.500 0.500 0.131 1
Pa1 0.500 0.500 0.500 1
Al2 0.000 0.000 0.585 1
Ga5 0.000 0.000 0.180 1
Al3 0.000 0.000 0.000 1
Ga6 0.500 0.000 0.695 1
```

---

PaAlGaTc: optimized geometry, PBE.

Calculated values
* V: 79.3 Å³ per cell
* DFT formation energy: -0.2514 eV/atom
* DOS(E_F): 1.139 states/eV per cell
* offset from the most stable computed form: 0.000 eV/atom
* DFT total energy: -6.909 eV per atom

```
data_PaAlGaTc
_cell_length_a 4.582
_cell_length_b 4.582
_cell_length_c 5.102
_cell_angle_alpha 63.32
_cell_angle_beta 63.32
_cell_angle_gamma 60.00
_space_group_name_H-M_alt 'P 1'
_space_group_IT_number 1
_space_group_name_Hall 'P 1'
loop_
_atom_site_label
_atom_site_fract_x
_atom_site_fract_y
_atom_site_fract_z
_atom_site_occupancy
Pa1 0.806 0.806 0.583 1
Al1 0.347 0.347 0.960 1
Tc1 0.989 0.989 0.033 1
Ga1 0.585 0.585 0.246 1
```

---

PaAlGaTc: optimized geometry, PBE.

Calculated values
* V: 73.6 Å³ per cell
* DFT formation energy: -0.1345 eV/atom
* DOS(E_F): 3.449 states/eV per cell
* offset from the most stable computed form: 0.117 eV/atom
* DFT total energy: -6.792 eV per atom

```
data_PaAlGaTc
_cell_length_a 4.704
_cell_length_b 4.704
_cell_length_c 4.704
_cell_angle_alpha 60.00
_cell_angle_beta 60.00
_cell_angle_gamma 60.00
_space_group_name_H-M_alt 'P 1'
_space_group_IT_number 1
_space_group_name_Hall 'P 1'
loop_
_atom_site_label
_atom_site_fract_x
_atom_site_fract_y
_atom_site_fract_z
_atom_site_occupancy
Tc1 0.000 0.000 0.000 1
Al1 0.750 0.750 0.750 1
Pa1 0.250 0.250 0.250 1
Ga1 0.500 0.500 0.500 1
```

---

ThPaAlGa: optimized geometry, PBE.

Calculated values
* V: 96.7 Å³ per cell
* DFT formation energy: -0.1103 eV/atom
* DOS(E_F): 7.474 states/eV per cell
* DFT total energy: -6.032 eV per atom

```
data_ThPaAlGa
_cell_length_a 5.151
_cell_length_b 5.151
_cell_length_c 5.151
_cell_angle_alpha 60.00
_cell_angle_beta 60.00
_cell_angle_gamma 60.00
_space_group_name_H-M_alt 'P 1'
_space_group_IT_number 1
_space_group_name_Hall 'P 1'
loop_
_atom_site_label
_atom_site_fract_x
_atom_site_fract_y
_atom_site_fract_z
_atom_site_occupancy
Ga1 0.750 0.750 0.750 1
Th1 0.500 0.500 0.500 1
Pa1 0.000 0.000 0.000 1
Al1 0.250 0.250 0.250 1
```

---

Among the records above, which one has the highest V?
Sr2PaAl3Ga12

---

What is the DFT total energy in the eighth record?
-6.032 eV per atom